Computed, not measured: a relaxed ScGaNiRu crystal at the PBE-GGA level of DFT.

Unit cell a=4.347 b=4.347 c=4.347 alpha=60.00 beta=60.00 gamma=60.00
Sites, in units of the cell vectors:
1 Ru 0.750 0.750 0.750
2 Ni 0.250 0.250 0.250
3 Sc 0.500 0.500 0.500
4 Ga 0.000 0.000 0.000

Summary:
Raw total energy in eV/atom: -6.64
Formation energy in eV per atom: -0.541
Space-group type: F-43m (216)